No. 1
# PBE Tm3Mg4Au4, optimized geometry
# - theoretical density (g cm⁻³) = 9.47
# - energy of formation from the pure elements (kcal/mol of atoms) = -14.816
data_Tm3Mg4Au4
_chemical_formula_sum 'Tm6 Mg8 Au8'
_space_group_name_H-M_alt 'I m m m'
_space_group_IT_number 71
_space_group_name_Hall '-I 2 2'
_cell_length_a 3.8228
_cell_length_b 8.0904
_cell_length_c 15.7907
_cell_angle_alpha 90.00
_cell_angle_beta 90.00
_cell_angle_gamma 90.00
loop_
_atom_site_label
_atom_site_type_symbol
_atom_site_fract_x
_atom_site_fract_y
_atom_site_fract_z
_atom_site_occupancy
Tm1 Tm 0.0000 0.0000 0.0000 1
Tm2 Tm 0.0000 0.5000 0.1076 1
Mg1 Mg 0.0000 0.3116 0.3305 1
Au1 Au 0.0000 0.0000 0.2478 1
Au2 Au 0.0000 0.2056 0.5000 1

---

No. 2
# PBE NbIn3Re, optimized geometry
# - theoretical density (g cm⁻³) = 7.57
# - energy above the lowest structure with this stoichiometry (meV per atom) = 0
# - energy of formation from the pure elements (kcal/mol of atoms) = 26.908
data_NbIn3Re
_chemical_formula_sum 'Nb1 In3 Re1'
_space_group_name_H-M_alt 'P m -3 m'
_space_group_IT_number 221
_space_group_name_Hall '-P 4 2 3'
_cell_length_a 5.1518
_cell_length_b 5.1518
_cell_length_c 5.1518
_cell_angle_alpha 90.00
_cell_angle_beta 90.00
_cell_angle_gamma 90.00
loop_
_atom_site_label
_atom_site_type_symbol
_atom_site_fract_x
_atom_site_fract_y
_atom_site_fract_z
_atom_site_occupancy
Nb1 Nb 0.0000 0.0000 0.0000 1
In1 In 0.0000 0.5000 0.5000 1
Re1 Re 0.5000 0.5000 0.5000 1

---

No. 3
# PBE Bi2RuPbN, optimized geometry
# - theoretical density (g cm⁻³) = 6.65
# - total DFT energy (no corrections) (eV per atom) = -3.5843
data_Bi2RuPbN
_chemical_formula_sum 'Bi2 Ru1 Pb1 N1'
_space_group_name_H-M_alt 'P 4/m m m'
_space_group_IT_number 123
_space_group_name_Hall '-P 4 2'
_cell_length_a 5.9649
_cell_length_b 5.9649
_cell_length_c 5.1918
_cell_angle_alpha 90.00
_cell_angle_beta 90.00
_cell_angle_gamma 90.00
loop_
_atom_site_label
_atom_site_type_symbol
_atom_site_fract_x
_atom_site_fract_y
_atom_site_fract_z
_atom_site_occupancy
Bi1 Bi 0.0000 0.5000 0.0000 1
Ru1 Ru 0.0000 0.0000 0.5000 1
Pb1 Pb 0.0000 0.0000 0.0000 1
N1 N 0.5000 0.5000 0.5000 1

---

No. 4
# PBE YScInOs, optimized geometry
# - theoretical density (g cm⁻³) = 8.70
# - energy of formation from the pure elements (kcal/mol of atoms) = -6.290
data_YScInOs
_chemical_formula_sum 'Y4 Sc4 In4 Os4'
_space_group_name_H-M_alt 'F -4 3 m'
_space_group_IT_number 216
_space_group_name_Hall 'F -4 2 3'
_cell_length_a 6.9450
_cell_length_b 6.9450
_cell_length_c 6.9450
_cell_angle_alpha 90.00
_cell_angle_beta 90.00
_cell_angle_gamma 90.00
loop_
_atom_site_label
_atom_site_type_symbol
_atom_site_fract_x
_atom_site_fract_y
_atom_site_fract_z
_atom_site_occupancy
Y1 Y 0.0000 0.0000 0.0000 1
Sc1 Sc 0.0000 0.0000 0.5000 1
In1 In 0.2500 0.2500 0.7500 1
Os1 Os 0.2500 0.2500 0.2500 1

---

No. 5
# PBE SbAuS2, optimized geometry
# - theoretical density (g cm⁻³) = 6.16
# - total DFT energy (no corrections) (eV per atom) = -4.0032
data_SbAuS2
_chemical_formula_sum 'Sb4 Au4 S8'
_space_group_name_H-M_alt 'C 1 2/c 1'
_space_group_IT_number 15
_cell_length_a 14.7944
_cell_length_b 4.1029
_cell_length_c 7.1352
_cell_angle_alpha 90.00
_cell_angle_beta 107.59
_cell_angle_gamma 90.00
loop_
_space_group_symop_operation_xyz
'x,y,z'
'-x,-y,-z'
'-x,y,-z+1/2'
'x,-y,z+1/2'
'x+1/2,y+1/2,z'
'-x+1/2,-y+1/2,-z'
'-x+1/2,y+1/2,-z+1/2'
'x+1/2,-y+1/2,z+1/2'
loop_
_atom_site_label
_atom_site_type_symbol
_atom_site_fract_x
_atom_site_fract_y
_atom_site_fract_z
_atom_site_occupancy
Sb1 Sb 0.2500 0.2500 0.0000 1
Au1 Au 0.0000 0.0000 0.0000 1
S1 S 0.1475 0.2468 0.6044 1

---

No. 6
# PBE TePd6Se3, optimized geometry
# - theoretical density (g cm⁻³) = 8.60
# - total DFT energy (no corrections) (eV per atom) = -4.6623
data_TePd6Se3
_chemical_formula_sum 'Te4 Pd24 Se12'
_space_group_name_H-M_alt 'C m c 21'
_space_group_IT_number 36
_cell_length_a 9.4505
_cell_length_b 13.7766
_cell_length_c 5.9485
_cell_angle_alpha 90.00
_cell_angle_beta 90.00
_cell_angle_gamma 90.00
loop_
_space_group_symop_operation_xyz
'x,y,z'
'-x,-y,z+1/2'
'-x,y,z'
'x,-y,z+1/2'
'x+1/2,y+1/2,z'
'-x+1/2,-y+1/2,z+1/2'
'-x+1/2,y+1/2,z'
'x+1/2,-y+1/2,z+1/2'
loop_
_atom_site_label
_atom_site_type_symbol
_atom_site_fract_x
_atom_site_fract_y
_atom_site_fract_z
_atom_site_occupancy
Te1 Te 0.0000 0.1813 0.0000 1
Pd1 Pd 0.0000 0.0155 0.6947 1
Pd2 Pd 0.0000 0.2277 0.5729 1
Pd3 Pd 0.1548 0.4735 0.2352 1
Pd4 Pd 0.2180 0.2685 0.2437 1
Se1 Se 0.0000 0.4036 0.5290 1
Se2 Se 0.1940 0.1040 0.4398 1

---

Copy entry 1 word for word.
# PBE Tm3Mg4Au4, optimized geometry
# - theoretical density (g cm⁻³) = 9.47
# - energy of formation from the pure elements (kcal/mol of atoms) = -14.816
data_Tm3Mg4Au4
_chemical_formula_sum 'Tm6 Mg8 Au8'
_space_group_name_H-M_alt 'I m m m'
_space_group_IT_number 71
_space_group_name_Hall '-I 2 2'
_cell_length_a 3.8228
_cell_length_b 8.0904
_cell_length_c 15.7907
_cell_angle_alpha 90.00
_cell_angle_beta 90.00
_cell_angle_gamma 90.00
loop_
_atom_site_label
_atom_site_type_symbol
_atom_site_fract_x
_atom_site_fract_y
_atom_site_fract_z
_atom_site_occupancy
Tm1 Tm 0.0000 0.0000 0.0000 1
Tm2 Tm 0.0000 0.5000 0.1076 1
Mg1 Mg 0.0000 0.3116 0.3305 1
Au1 Au 0.0000 0.0000 0.2478 1
Au2 Au 0.0000 0.2056 0.5000 1

---

What is the theoretical density in the first record?
9.47 g cm⁻³

---

Number 2 is which compound?
NbIn3Re

---

What is the theoretical density in the fourth record?
8.70 g cm⁻³